No. 1
Material: ZnCdP2
Method: DFT, GGA-PBE
State: relaxed

Cell and atoms, written as extended XYZ:
```
4
Lattice="9.831 0.045 0.026 9.303 3.177 0.026 9.303 1.567 2.764" Properties=species:S:1:pos:R:3 pbc="T T T"
P 7.293 1.228 0.722
P 27.508 4.632 2.725
Cd 21.617 3.640 2.141
Zn 14.674 2.471 1.454
```

Calculated values
offset from the most stable computed form	108	meV per atom

***

No. 2
Material: AlAs2P
Method: DFT, GGA-PBE
State: relaxed

Cell and atoms, written as extended XYZ:
```
4
Lattice="-2.971 0.593 -0.090 0.619 -2.291 -1.884 -1.299 -5.545 6.317" Properties=species:S:1:pos:R:3 pbc="T T T"
As -1.566 -2.513 0.909
As -1.241 -5.297 6.035
Al -2.122 -4.887 3.613
P -0.671 -2.863 3.262
```

Calculated values
offset from the most stable computed form	407	meV per atom

***

Across the entries above, total energy takes the values -12.3; -17.1 eV per formula unit, respectively.
Across the entries above, formation energy from the elements takes the values 0.169; 0.328 eV/atom, respectively.